Record 1
This record from Alexandria via LeMat-Bulk describes a relaxed ZnTc3F crystal. The functional is PBE.

Summary:
relative energy among the computed polymorphs: 99.29 kJ/mol of atoms
uncorrected formation energy: 1895 meV/atom
calculated volume: 22.477 Å³ per atom
size of the total moment: 2.121 μB per atom

Cell lengths 4.826, 4.826, 4.826 Å; angles 90.00, 90.00, 90.00 degrees
Space group Pm-3m (No. 221)
Symmetry-distinct sites (fractional):
Zn 0.000 0.000 0.000 [1 per cell]
Tc 0.000 0.000 0.500 [3 per cell]
F 0.500 0.500 0.500 [1 per cell]

***

Record 2
This record from Alexandria via LeMat-Bulk describes a relaxed La4SnSbSe2 crystal. The functional is PBE.

Summary:
uncorrected formation energy: -1510 meV/atom
calculated volume: 31.977 Å³ per atom
size of the total moment: 0.000 μB per atom

Cell lengths 7.723, 4.507, 7.804 Å; angles 90.00, 109.66, 90.00 degrees
Space group P2/m (No. 10)
Symmetry-distinct sites (fractional):
La 0.243 0.000 0.246 [2 per cell]
La 0.243 0.500 0.749 [2 per cell]
Sn 0.500 0.000 0.000 [1 per cell]
Sb 0.500 0.500 0.500 [1 per cell]
Se 0.000 0.000 0.500 [1 per cell]
Se 0.000 0.500 0.000 [1 per cell]

***

Record 3
This record from Alexandria via LeMat-Bulk describes a relaxed PrErGaCo crystal. The functional is PBE.

Summary:
calculated volume: 22.288 Å³ per atom
size of the total moment: 0.270 μB per atom
formation energy: -0.24 eV/atom

Cell lengths 7.091, 7.091, 7.091 Å; angles 90.00, 90.00, 90.00 degrees
Space group F-43m (No. 216)
Symmetry-distinct sites (fractional):
Pr 0.000 0.000 0.000 [4 per cell]
Er 0.000 0.000 0.500 [4 per cell]
Ga 0.250 0.250 0.750 [4 per cell]
Co 0.250 0.250 0.250 [4 per cell]

***

Record 4
This record from Alexandria via LeMat-Bulk describes a relaxed KGaRhF6 crystal. The functional is PBE.

Summary:
uncorrected formation energy: -2182 meV/atom
calculated volume: 16.510 Å³ per atom
size of the total moment: 0.105 μB per atom

Cell lengths 5.613, 9.365, 5.655 Å; angles 90.00, 91.21, 90.00 degrees
Space group C2 (No. 5)
Symmetry-distinct sites (fractional):
K 0.000 0.000 0.000 [2 per cell]
Ga 0.000 0.335 0.500 [2 per cell]
Rh 0.000 0.671 0.500 [2 per cell]
F 0.135 0.496 0.684 [4 per cell]
F 0.142 0.206 0.713 [4 per cell]
F 0.199 0.829 0.676 [4 per cell]

***

Record 5
This record from Alexandria via LeMat-Bulk describes a relaxed Pu2SeI crystal. The functional is PBE.

Summary:
relative energy among the computed polymorphs: 9.67 kJ/mol of atoms
uncorrected formation energy: -927 meV/atom
calculated volume: 26.028 Å³ per atom
size of the total moment: 3.214 μB per atom

Cell lengths 3.703, 3.703, 7.594 Å; angles 90.00, 90.00, 90.00 degrees
Space group P4/mmm (No. 123)
Symmetry-distinct sites (fractional):
Pu 0.000 0.000 0.222 [2 per cell]
Se 0.500 0.500 0.000 [1 per cell]
I 0.500 0.500 0.500 [1 per cell]

***

Record 6
This record from Alexandria via LeMat-Bulk describes a relaxed AlHg3Sb crystal. The functional is PBE.

Summary:
relative energy among the computed polymorphs: 0.00 kJ/mol of atoms
uncorrected formation energy: 358 meV/atom
calculated volume: 28.501 Å³ per atom
size of the total moment: 0.000 μB per atom

Cell lengths 5.223, 5.223, 5.223 Å; angles 90.00, 90.00, 90.00 degrees
Space group Pm-3m (No. 221)
Symmetry-distinct sites (fractional):
Al 0.000 0.000 0.000 [1 per cell]
Hg 0.000 0.000 0.500 [3 per cell]
Sb 0.500 0.500 0.500 [1 per cell]

***

Record 7
This record from Alexandria via LeMat-Bulk describes a relaxed HoMg6Ag6 crystal. The functional is PBE.

Summary:
calculated volume: 20.320 Å³ per atom
size of the total moment: 0.000 μB per atom
formation energy: -0.18 eV/atom

Cell lengths 5.631, 9.480, 9.897 Å; angles 90.00, 90.00, 90.00 degrees
Space group Immm (No. 71)
Symmetry-distinct sites (fractional):
Ho 0.000 0.000 0.000 [2 per cell]
Mg 0.000 0.000 0.345 [4 per cell]
Mg 0.000 0.340 0.000 [4 per cell]
Mg 0.000 0.500 0.311 [4 per cell]
Ag 0.000 0.276 0.500 [4 per cell]
Ag 0.250 0.250 0.250 [8 per cell]

***

Record 8
This record from Alexandria via LeMat-Bulk describes a relaxed Pr2Ga3Au crystal. The functional is PBE.

Summary:
relative energy among the computed polymorphs: 0.00 kJ/mol of atoms
calculated volume: 23.283 Å³ per atom
size of the total moment: 0.000 μB per atom
formation energy: -0.71 eV/atom

Cell lengths 8.035, 8.966, 15.513 Å; angles 90.00, 90.00, 90.00 degrees
Space group Fmmm (No. 69)
Symmetry-distinct sites (fractional):
Pr 0.240 0.000 0.000 [8 per cell]
Pr 0.250 0.250 0.250 [8 per cell]
Ga 0.000 0.000 0.338 [8 per cell]
Ga 0.000 0.245 0.418 [16 per cell]
Au 0.000 0.000 0.169 [8 per cell]

***

Please write out number 6 again, unchanged.
This record from Alexandria via LeMat-Bulk describes a relaxed AlHg3Sb crystal. The functional is PBE.

Summary:
relative energy among the computed polymorphs: 0.00 kJ/mol of atoms
uncorrected formation energy: 358 meV/atom
calculated volume: 28.501 Å³ per atom
size of the total moment: 0.000 μB per atom

Cell lengths 5.223, 5.223, 5.223 Å; angles 90.00, 90.00, 90.00 degrees
Space group Pm-3m (No. 221)
Symmetry-distinct sites (fractional):
Al 0.000 0.000 0.000 [1 per cell]
Hg 0.000 0.000 0.500 [3 per cell]
Sb 0.500 0.500 0.500 [1 per cell]

***

- What is the formula in the fifth record?
  Pu2SeI

***

- Which value of size of the total moment does entry 4 give?
  0.105 μB per atom